Entry 1:
Density functional theory data (PBE) for a geometry-optimized CsAc2Tb structure.

Unit cell a=3.9461 b=3.9461 c=14.3035 alpha=82.07 beta=82.07 gamma=60.00
Atoms (fractional coordinates):
Tb (0.5000, 0.5000, 0.5000)
Ac (0.0971, 0.0971, 0.7086)
Cs (0.0000, 0.0000, 0.0000)
Ac (0.9029, 0.9029, 0.2914)

- density (g/cm3) = 6.5
- raw total energy (eV/atom) = -3.193
- DFT formation energy (eV/atom) = 0.23
- symmetry = R-3m (166)

***

Entry 2:
Density functional theory data (PBE) for a geometry-optimized Cs3Ac3TbTe8 structure.

Unit cell a=9.5747 b=9.5839 c=10.7018 alpha=116.66 beta=90.00 gamma=119.96
Atoms (fractional coordinates):
Tb (0.0000, 0.0000, 0.5000)
Te (0.7788, 0.5577, 0.3086)
Cs (0.5000, 0.5000, 0.0000)
Cs (0.0000, 0.0000, 0.0000)
Te (0.7492, 0.9704, 0.6914)
Te (0.2653, 0.5306, 0.2960)
Te (0.2211, 0.9704, 0.6914)
Te (0.7347, 0.4694, 0.7040)
Ac (0.5000, 0.5000, 0.5000)
Te (0.7789, 0.0296, 0.3086)
Ac (0.5000, 0.0000, 0.5000)
Ac (0.0000, 0.5000, 0.5000)
Te (0.2508, 0.0296, 0.3086)
Cs (0.0000, 0.5000, 0.0000)
Te (0.2212, 0.4423, 0.6914)

- density (g/cm3) = 5.2
- raw total energy (eV/atom) = -4.359
- uncorrected formation energy (eV/atom) = -1.38
- symmetry = C2/m (12)

***

Entry 3:
Density functional theory data (PBE) for a geometry-optimized Cs3AcTb2Te6 structure.

Unit cell a=8.1158 b=8.1158 c=9.3498 alpha=98.34 beta=98.34 gamma=120.00
Atoms (fractional coordinates):
Te (0.4155, 0.0649, 0.1941)
Cs (0.1628, 0.8372, 0.5000)
Tb (0.3329, 0.6671, 0.0000)
Te (0.2864, 0.2864, 0.8074)
Cs (0.5000, 0.5000, 0.5000)
Tb (0.6671, 0.3329, 0.0000)
Cs (0.8372, 0.1628, 0.5000)
Te (0.7136, 0.7136, 0.1926)
Te (0.0649, 0.4155, 0.1941)
Te (0.9351, 0.5845, 0.8059)
Ac (0.0000, 0.0000, 0.0000)
Te (0.5845, 0.9351, 0.8059)

- density (g/cm3) = 5.6
- raw total energy (eV/atom) = -4.321
- uncorrected formation energy (eV/atom) = -1.42
- symmetry = C2/m (12)

***

Entry 4:
Density functional theory data (PBE) for a geometry-optimized Cs3Ac2TbTe6 structure.

Unit cell a=8.3089 b=8.3089 c=9.3902 alpha=98.50 beta=98.50 gamma=120.00
Atoms (fractional coordinates):
Cs (0.8300, 0.1700, 0.5000)
Te (0.3820, 0.0656, 0.1971)
Tb (0.0000, 0.0000, 0.0000)
Cs (0.1700, 0.8300, 0.5000)
Te (0.0656, 0.3820, 0.1971)
Te (0.7503, 0.7503, 0.1984)
Ac (0.6663, 0.3337, 0.0000)
Ac (0.3337, 0.6663, 0.0000)
Te (0.9344, 0.6180, 0.8029)
Cs (0.5000, 0.5000, 0.5000)
Te (0.6180, 0.9344, 0.8029)
Te (0.2497, 0.2497, 0.8016)

- density (g/cm3) = 5.5
- raw total energy (eV/atom) = -4.315
- uncorrected formation energy (eV/atom) = -1.46
- symmetry = C2/m (12)

***

Entry 5:
Density functional theory data (PBE) for a geometry-optimized Cs4Ac3TbTe8 structure.

Unit cell a=9.6504 b=10.5695 c=9.6504 alpha=117.17 beta=120.00 gamma=90.00
Atoms (fractional coordinates):
Te (0.7758, 0.3036, 0.5516)
Ac (0.5000, 0.5000, 0.0000)
Te (0.2520, 0.3036, 0.0278)
Te (0.7758, 0.3036, 0.0278)
Tb (0.0000, 0.5000, 0.0000)
Cs (0.0000, 0.0000, 0.0000)
Cs (0.5000, 0.0000, 0.5000)
Te (0.7480, 0.6964, 0.9722)
Ac (0.5000, 0.5000, 0.5000)
Te (0.2242, 0.6964, 0.9722)
Cs (0.0000, 0.0000, 0.5000)
Cs (0.5000, 0.0000, 0.0000)
Ac (0.0000, 0.5000, 0.5000)
Te (0.2651, 0.2953, 0.5302)
Te (0.2242, 0.6964, 0.4484)
Te (0.7349, 0.7047, 0.4698)

- density (g/cm3) = 5.5
- raw total energy (eV/atom) = -4.312
- uncorrected formation energy (eV/atom) = -1.47
- symmetry = R-3m (166)

***

Entry 6:
Density functional theory data (PBE) for a geometry-optimized CsAc4Te6 structure.

Unit cell a=4.9063 b=10.1347 c=10.1347 alpha=120.00 beta=90.00 gamma=90.00
Each line ends with the local moment (μB).
Atoms (fractional coordinates):
Ac (0.5000, 0.7988, 0.2012)  0.10
Te (0.0000, 0.9357, 0.4678)  0.00
Te (0.5000, 0.6470, 0.8235)  0.00
Cs (0.0000, 0.0000, 0.0000)  0.00
Te (0.5000, 0.1765, 0.3530)  0.00
Ac (0.5000, 0.4024, 0.2012)  0.10
Ac (0.0000, 0.3333, 0.6667)  0.01
Te (0.0000, 0.5322, 0.0643)  0.00
Te (0.0000, 0.5322, 0.4678)  0.00
Ac (0.5000, 0.7988, 0.5976)  0.10
Te (0.5000, 0.1765, 0.8235)  0.00

- density (g/cm3) = 6.9
- raw total energy (eV/atom) = -4.626
- E above lowest polymorph (kJ/mol of formula units) = 151
- uncorrected formation energy (eV/atom) = -1.34
- symmetry = P-6m2 (187)

***

Which of these has the lowest raw total energy?
CsAc4Te6